The following is a PBE calculation of a geometry-optimized K2NpUSe4 structure, from the Alexandria database.

For the total magnetization, the calculation gives 7.000 μB per formula unit. For the formation energy without anion corrections, the calculation gives -1.251 eV per atom. The value obtained for the electronic total energy is -6.296 eV per atom.

The structure belongs to space group P2/m (No. 10); the cell edges are 7.3285, 4.2324 and 8.0989 Å and the angles 90.00°, 107.53° and 90.00°. The distinct sites, in fractional coordinates, are K at (0.0000, 0.0000, 0.0000), K at (0.5000, 0.5000, 0.0000), Np at (0.0000, 0.5000, 0.5000), U at (0.5000, 0.0000, 0.5000), Se at (0.2380, 0.0000, 0.7074) and Se at (0.2661, 0.5000, 0.2923).